No. 1
{
  "formula": "Ac2Al2Cd",
  "functional": "PBE-GGA",
  "state": "optimized geometry",
  "cell": [[7.594, 0.000, 0.000], [0.000, 7.594, 0.000], [0.000, 0.000, 5.116]],
  "species": ["Ac", "Ac", "Ac", "Ac", "Al", "Al", "Al", "Al", "Cd", "Cd"],
  "fractional_positions": [[0.173, 0.327, 0.000], [0.327, 0.827, 0.000], [0.673, 0.173, 0.000], [0.827, 0.673, 0.000], [0.128, 0.628, 0.500], [0.372, 0.128, 0.500], [0.628, 0.872, 0.500], [0.872, 0.372, 0.500], [0.000, 0.000, 0.500], [0.500, 0.500, 0.500]],
  "de_polymorph_kj_per_mol_atoms": 5.3,
  "dos_ef_per_ev_fu": 4.707,
  "magnetic_moment_mub_per_cell": 0.000,
  "sg": "No. 127"
}

=====

No. 2
{
  "formula": "BaIn2IrI",
  "functional": "PBE-GGA",
  "state": "optimized geometry",
  "cell": [[5.224, 0.000, 0.000], [0.000, 5.224, 0.000], [0.000, 0.000, 6.189]],
  "species": ["Ba", "In", "In", "Ir", "I"],
  "fractional_positions": [[0.000, 0.000, 0.000], [0.000, 0.500, 0.500], [0.500, 0.000, 0.500], [0.000, 0.000, 0.500], [0.500, 0.500, 0.000]],
  "e_form_raw_ev_per_fu": -3.10,
  "dos_ef_per_ev_fu": 0.784,
  "magnetic_moment_mub_per_cell": 0.000,
  "sg": "No. 123"
}

=====

No. 3
{
  "formula": "LuPaGaSn",
  "functional": "PBE-GGA",
  "state": "optimized geometry",
  "cell": [[0.000, 3.649, 3.649], [3.649, 0.000, 3.649], [3.649, 3.649, 0.000]],
  "species": ["Lu", "Pa", "Ga", "Sn"],
  "fractional_positions": [[0.000, 0.000, 0.000], [0.500, 0.500, 0.500], [0.250, 0.250, 0.250], [0.750, 0.750, 0.750]],
  "dft_energy_ev_per_atom": -5.508,
  "dos_ef_per_ev_fu": 6.391,
  "magnetic_moment_mub_per_cell": 1.595,
  "sg": "No. 216"
}

=====

No. 4
{
  "formula": "ZnAuSe2",
  "functional": "PBE-GGA",
  "state": "optimized geometry",
  "cell": [[3.587, -2.059, 0.000], [3.587, 2.059, 0.000], [-0.743, 0.000, 7.063]],
  "species": ["Zn", "Au", "Se", "Se"],
  "fractional_positions": [[0.000, 0.000, 0.000], [0.953, 0.953, 0.380], [0.324, 0.324, 0.925], [0.630, 0.630, 0.479]],
  "e_form_raw_ev_per_fu": -0.52,
  "dos_ef_per_ev_fu": 2.148,
  "magnetic_moment_mub_per_cell": 0.000,
  "sg": "No. 8"
}